[1]
DFT (GGA-PBE) results for a relaxed DyCu3P2 crystal.

Values from the calculation:
ΔE_f = -0.56 eV/atom
Final energy = -5.177 eV/atom
Fermi-level density of states = 5.186 states/eV/cell
Crystal system = monoclinic
Total magnetization = 0.00 Bohr magnetons per cell

abc: 14.5678 3.8732 7.1959
angles: 90.00 117.09 90.00
Closest atoms and distances in Å follow each position.
Space group C2/m (No. 12)
Inequivalent atoms, fractional coordinates:
Dy  0.1453  0.0000  0.0537  7 P 2.84-3.15, 5 Cu 3.16-3.18
Cu  0.0525  0.0000  0.3903  3 P 2.36
Cu  0.1000  0.5000  0.6731  3 P 2.32-2.38, 1 Cu 2.57
Cu  0.1863  0.5000  0.4307  2 P 2.30-2.33, 3 Cu 2.55-2.57
P  0.0134  0.5000  0.1818  4 Cu 2.32-2.36, 1 P 2.46
P  0.2021  0.0000  0.7153  4 Cu 2.30-2.38



[2]
DFT (GGA-PBE) results for a relaxed LiPuPa2Pt4 crystal.

Values from the calculation:
ΔE_f = -0.78 eV/atom
Final energy = -8.208 eV/atom
Fermi-level density of states = 43.130 states/eV/cell
Crystal system = trigonal
Total magnetization = 18.70 Bohr magnetons per cell

abc: 4.8148 4.8148 24.1925
angles: 90.00 90.00 120.00
Closest atoms and distances in Å follow each position.
Space group R-3m (No. 166, hexagonal axes)
Inequivalent atoms, fractional coordinates:
Li  0.0000  0.0000  0.0000  8 Pt 2.78-2.94
Pu  0.0000  0.0000  0.5000  8 Pt 3.05-3.08
Pa  0.0000  0.0000  0.2537  7 Pt 2.88-2.95
Pt  0.0000  0.0000  0.1148  1 Li 2.78, 3 Pa 2.91, 3 Pu 3.05
Pt  0.0000  0.0000  0.3726  4 Pa 2.88-2.95, 3 Li 2.94, 1 Pu 3.08